A | ! CaOsS3 | Alexandria via LeMat-Bulk | GGA-PBE | optimized geometry; values from VASP
! Spin magnetization = 3.395 μB per formula unit
&SYSTEM
  ibrav = 0, nat = 5, ntyp = 3
/
ATOMIC_SPECIES
Ca 40.08 Ca.upf
S 32.06 S.upf
Os 190.23 Os.upf
CELL_PARAMETERS angstrom
5.080 0.000 0.000
0.000 5.080 0.000
0.000 0.000 5.080
ATOMIC_POSITIONS crystal
Ca 0.000 0.000 0.000
S 0.000 0.500 0.000
S 0.000 0.000 0.500
Os 0.500 0.500 0.500
S 0.500 0.000 0.000


B | ! CaOsS3 | Alexandria via LeMat-Bulk | GGA-PBE | optimized geometry; values from VASP
! Spin magnetization = 2.098 μB per formula unit
&SYSTEM
  ibrav = 0, nat = 5, ntyp = 3
/
ATOMIC_SPECIES
Os 190.23 Os.upf
S 32.06 S.upf
Ca 40.08 Ca.upf
CELL_PARAMETERS angstrom
4.704 0.000 0.000
0.000 4.704 0.000
0.000 0.000 4.704
ATOMIC_POSITIONS crystal
Os 0.000 0.000 0.000
S 0.000 0.500 0.000
Ca 0.500 0.500 0.500
S 0.500 0.000 0.000
S 0.000 0.000 0.500


Stability summary - winner: B; margin: 162.5 kJ/mol of atoms.


A | ! Ca2Sb2Os | Alexandria via LeMat-Bulk | GGA-PBE | optimized geometry; values from VASP
! Spin magnetization = 1.545 μB per formula unit
&SYSTEM
  ibrav = 0, nat = 10, ntyp = 3
/
ATOMIC_SPECIES
Os 190.23 Os.upf
Ca 40.08 Ca.upf
Sb 121.76 Sb.upf
CELL_PARAMETERS angstrom
8.581 0.000 0.000
0.000 8.581 0.000
0.000 0.000 3.505
ATOMIC_POSITIONS crystal
Os 0.000 0.000 0.000
Os 0.500 0.500 0.000
Ca 0.371 0.871 0.000
Ca 0.871 0.629 0.000
Sb 0.178 0.678 0.500
Sb 0.822 0.322 0.500
Ca 0.629 0.129 0.000
Sb 0.678 0.822 0.500
Ca 0.129 0.371 0.000
Sb 0.322 0.178 0.500


B | ! Ca2Sb2Os | Alexandria via LeMat-Bulk | GGA-PBE | optimized geometry; values from VASP
! Spin magnetization = 1.479 μB per formula unit
&SYSTEM
  ibrav = 0, nat = 5, ntyp = 3
/
ATOMIC_SPECIES
Ca 40.08 Ca.upf
Sb 121.76 Sb.upf
Os 190.23 Os.upf
CELL_PARAMETERS angstrom
-3.916 0.981 -0.455
0.445 -0.099 -4.037
-3.841 -7.973 -2.272
ATOMIC_POSITIONS crystal
Ca 0.592 0.592 0.816
Sb 0.250 0.750 0.500
Sb 0.750 0.250 0.500
Os 0.000 0.000 0.000
Ca 0.408 0.408 0.184


C | ! Ca2Sb2Os | Alexandria via LeMat-Bulk | GGA-PBE | optimized geometry; values from VASP
! Spin magnetization = 0.000 μB per formula unit
&SYSTEM
  ibrav = 0, nat = 10, ntyp = 3
/
ATOMIC_SPECIES
Ca 40.08 Ca.upf
Sb 121.76 Sb.upf
Os 190.23 Os.upf
CELL_PARAMETERS angstrom
-3.463 -3.365 5.122
5.965 -0.503 3.703
-0.984 4.320 2.172
ATOMIC_POSITIONS crystal
Ca 0.828 0.328 0.500
Sb 0.853 0.647 0.000
Os 0.500 0.500 0.000
Ca 0.328 0.172 0.500
Sb 0.647 0.147 0.000
Os 0.000 0.000 0.000
Sb 0.353 0.853 0.000
Ca 0.172 0.672 0.500
Ca 0.672 0.828 0.500
Sb 0.147 0.353 0.000


Stability summary - winner: C; margin: 77.4 kJ/mol of atoms.


A | ! Ca2SbTeOs | Alexandria via LeMat-Bulk | GGA-PBE | optimized geometry; values from VASP
! Spin magnetization = 0.000 μB per formula unit
&SYSTEM
  ibrav = 0, nat = 5, ntyp = 4
/
ATOMIC_SPECIES
Ca 40.08 Ca.upf
Os 190.23 Os.upf
Te 127.60 Te.upf
Sb 121.76 Sb.upf
CELL_PARAMETERS angstrom
-4.829 0.599 3.050
-0.337 -4.837 0.417
3.083 0.203 4.842
ATOMIC_POSITIONS crystal
Ca 0.500 0.000 0.000
Ca 0.000 0.000 0.500
Os 0.000 0.500 0.000
Te 0.000 0.000 0.000
Sb 0.500 0.500 0.500


B | ! Ca2SbTeOs | Alexandria via LeMat-Bulk | GGA-PBE | optimized geometry; values from VASP
! Spin magnetization = 2.995 μB per formula unit
&SYSTEM
  ibrav = 0, nat = 5, ntyp = 4
/
ATOMIC_SPECIES
Ca 40.08 Ca.upf
Te 127.60 Te.upf
Sb 121.76 Sb.upf
Os 190.23 Os.upf
CELL_PARAMETERS angstrom
-5.653 -1.326 0.532
1.232 -3.491 4.400
-0.692 4.440 3.716
ATOMIC_POSITIONS crystal
Ca 0.500 0.000 0.000
Te 0.000 0.500 0.000
Ca 0.000 0.000 0.500
Sb 0.000 0.000 0.000
Os 0.500 0.500 0.500


Stability summary - winner: A; margin: 65.4 kJ/mol of atoms.


A | ! CaSbTe2Os | Alexandria via LeMat-Bulk | GGA-PBE | optimized geometry; values from VASP
! Spin magnetization = 0.335 μB per formula unit
&SYSTEM
  ibrav = 0, nat = 5, ntyp = 4
/
ATOMIC_SPECIES
Te 127.60 Te.upf
Sb 121.76 Sb.upf
Ca 40.08 Ca.upf
Os 190.23 Os.upf
CELL_PARAMETERS angstrom
5.548 0.000 0.000
0.000 5.548 0.000
0.000 0.000 4.950
ATOMIC_POSITIONS crystal
Te 0.500 0.000 0.000
Sb 0.000 0.000 0.500
Ca 0.500 0.500 0.500
Te 0.000 0.500 0.000
Os 0.000 0.000 0.000


B | ! CaSbTe2Os | Alexandria via LeMat-Bulk | GGA-PBE | optimized geometry; values from VASP
! Spin magnetization = 3.342 μB per formula unit
&SYSTEM
  ibrav = 0, nat = 5, ntyp = 4
/
ATOMIC_SPECIES
Os 190.23 Os.upf
Te 127.60 Te.upf
Ca 40.08 Ca.upf
Sb 121.76 Sb.upf
CELL_PARAMETERS angstrom
5.641 0.000 0.000
0.000 5.641 0.000
0.000 0.000 5.791
ATOMIC_POSITIONS crystal
Os 0.500 0.500 0.500
Te 0.500 0.000 0.000
Te 0.000 0.500 0.000
Ca 0.000 0.000 0.000
Sb 0.000 0.000 0.500


Stability summary - winner: A; margin: 133.5 kJ/mol of atoms.


A | ! CaScOs | Alexandria via LeMat-Bulk | GGA-PBE | optimized geometry; values from VASP
! Spin magnetization = 0.000 μB per formula unit
&SYSTEM
  ibrav = 0, nat = 3, ntyp = 3
/
ATOMIC_SPECIES
Ca 40.08 Ca.upf
Os 190.23 Os.upf
Sc 44.96 Sc.upf
CELL_PARAMETERS angstrom
-3.435 -1.079 2.898
1.984 -3.296 -2.560
2.240 -0.554 2.448
ATOMIC_POSITIONS crystal
Ca 0.000 0.000 0.019
Os 0.667 0.333 0.400
Sc 0.333 0.667 0.581


B | ! CaScOs | Alexandria via LeMat-Bulk | GGA-PBE | optimized geometry; values from VASP
! Spin magnetization = 0.000 μB per formula unit
&SYSTEM
  ibrav = 0, nat = 3, ntyp = 3
/
ATOMIC_SPECIES
Ca 40.08 Ca.upf
Os 190.23 Os.upf
Sc 44.96 Sc.upf
CELL_PARAMETERS angstrom
-3.531 3.447 4.297
-4.771 0.322 4.467
1.548 -0.453 2.954
ATOMIC_POSITIONS crystal
Ca 0.970 0.970 0.030
Os 0.317 0.317 0.683
Sc 0.712 0.712 0.288


C | ! CaScOs | Alexandria via LeMat-Bulk | GGA-PBE | optimized geometry; values from VASP
! Spin magnetization = 0.000 μB per formula unit
&SYSTEM
  ibrav = 0, nat = 3, ntyp = 3
/
ATOMIC_SPECIES
Ca 40.08 Ca.upf
Os 190.23 Os.upf
Sc 44.96 Sc.upf
CELL_PARAMETERS angstrom
-0.803 -1.577 -4.296
0.702 -4.483 -0.998
-3.623 -2.794 -0.810
ATOMIC_POSITIONS crystal
Ca 0.500 0.500 0.500
Os 0.750 0.750 0.750
Sc 0.000 0.000 0.000


Stability summary - winner: B; margin: 20.5 kJ/mol of atoms.


A | ! CaOsSe | Alexandria via LeMat-Bulk | GGA-PBE | optimized geometry; values from VASP
! Spin magnetization = 0.000 μB per formula unit
&SYSTEM
  ibrav = 0, nat = 3, ntyp = 3
/
ATOMIC_SPECIES
Se 78.96 Se.upf
Os 190.23 Os.upf
Ca 40.08 Ca.upf
CELL_PARAMETERS angstrom
-2.031 5.780 0.981
-3.340 4.915 -1.783
-2.810 -0.358 1.442
ATOMIC_POSITIONS crystal
Se 0.698 0.698 0.302
Os 0.308 0.308 0.692
Ca 0.994 0.994 0.006


B | ! CaOsSe | Alexandria via LeMat-Bulk | GGA-PBE | optimized geometry; values from VASP
! Spin magnetization = 0.000 μB per formula unit
&SYSTEM
  ibrav = 0, nat = 3, ntyp = 3
/
ATOMIC_SPECIES
Os 190.23 Os.upf
Ca 40.08 Ca.upf
Se 78.96 Se.upf
CELL_PARAMETERS angstrom
4.164 0.000 0.000
-2.082 3.606 0.000
0.000 0.000 4.335
ATOMIC_POSITIONS crystal
Os 0.667 0.333 0.500
Ca 0.000 0.000 0.000
Se 0.333 0.667 0.500


C | ! CaOsSe | Alexandria via LeMat-Bulk | GGA-PBE | optimized geometry; values from VASP
! Spin magnetization = 1.660 μB per formula unit
&SYSTEM
  ibrav = 0, nat = 3, ntyp = 3
/
ATOMIC_SPECIES
Se 78.96 Se.upf
Ca 40.08 Ca.upf
Os 190.23 Os.upf
CELL_PARAMETERS angstrom
-3.549 2.218 1.630
-3.673 -2.256 1.261
-1.048 -0.330 4.355
ATOMIC_POSITIONS crystal
Se 0.750 0.750 0.750
Ca 0.000 0.000 0.000
Os 0.500 0.500 0.500


D | ! CaOsSe | Alexandria via LeMat-Bulk | GGA-PBE | optimized geometry; values from VASP
! Spin magnetization = 0.613 μB per formula unit
&SYSTEM
  ibrav = 0, nat = 3, ntyp = 3
/
ATOMIC_SPECIES
Os 190.23 Os.upf
Ca 40.08 Ca.upf
Se 78.96 Se.upf
CELL_PARAMETERS angstrom
4.633 0.000 0.000
2.317 4.013 0.000
2.317 1.338 3.783
ATOMIC_POSITIONS crystal
Os 0.000 0.000 0.000
Ca 0.750 0.750 0.750
Se 0.500 0.500 0.500


Stability summary - winner: B; margin: 16.6 kJ/mol of atoms.


A | ! CaSiOs3 | Alexandria via LeMat-Bulk | GGA-PBE | optimized geometry; values from VASP
! Spin magnetization = 1.121 μB per formula unit
&SYSTEM
  ibrav = 0, nat = 5, ntyp = 3
/
ATOMIC_SPECIES
Si 28.09 Si.upf
Ca 40.08 Ca.upf
Os 190.23 Os.upf
CELL_PARAMETERS angstrom
-1.636 4.174 -0.307
-4.082 -1.518 1.109
0.927 0.682 4.344
ATOMIC_POSITIONS crystal
Si 0.000 0.000 0.000
Ca 0.500 0.500 0.500
Os 0.000 0.000 0.500
Os 0.500 0.000 0.000
Os 0.000 0.500 0.000


B | ! CaSiOs3 | Alexandria via LeMat-Bulk | GGA-PBE | optimized geometry; values from VASP
! Spin magnetization = 2.159 μB per formula unit
&SYSTEM
  ibrav = 0, nat = 5, ntyp = 3
/
ATOMIC_SPECIES
Si 28.09 Si.upf
Os 190.23 Os.upf
Ca 40.08 Ca.upf
CELL_PARAMETERS angstrom
-2.971 2.018 -2.971
-1.425 -4.202 -1.429
-3.297 -0.003 3.295
ATOMIC_POSITIONS crystal
Si 0.500 0.500 0.500
Os 0.000 0.500 0.000
Os 0.500 0.000 0.000
Os 0.000 0.000 0.500
Ca 0.000 0.000 0.000


Stability summary - winner: A; margin: 246.8 kJ/mol of atoms.


A | ! CaSnOs3 | Alexandria via LeMat-Bulk | GGA-PBE | optimized geometry; values from VASP
! Spin magnetization = 1.857 μB per formula unit
&SYSTEM
  ibrav = 0, nat = 5, ntyp = 3
/
ATOMIC_SPECIES
Os 190.23 Os.upf
Sn 118.71 Sn.upf
Ca 40.08 Ca.upf
CELL_PARAMETERS angstrom
4.903 0.000 0.000
0.000 4.903 0.000
0.000 0.000 4.903
ATOMIC_POSITIONS crystal
Os 0.000 0.000 0.500
Sn 0.000 0.000 0.000
Os 0.500 0.000 0.000
Os 0.000 0.500 0.000
Ca 0.500 0.500 0.500


B | ! CaSnOs3 | Alexandria via LeMat-Bulk | GGA-PBE | optimized geometry; values from VASP
! Spin magnetization = 2.145 μB per formula unit
&SYSTEM
  ibrav = 0, nat = 5, ntyp = 3
/
ATOMIC_SPECIES
Os 190.23 Os.upf
Sn 118.71 Sn.upf
Ca 40.08 Ca.upf
CELL_PARAMETERS angstrom
4.731 0.000 0.000
0.000 4.731 0.000
0.000 0.000 4.731
ATOMIC_POSITIONS crystal
Os 0.500 0.000 0.000
Sn 0.500 0.500 0.500
Os 0.000 0.000 0.500
Ca 0.000 0.000 0.000
Os 0.000 0.500 0.000


Stability summary - winner: A; margin: 92.5 kJ/mol of atoms.


A | ! SrCa2Os | Alexandria via LeMat-Bulk | GGA-PBE | optimized geometry; values from VASP
! Spin magnetization = 0.377 μB per formula unit
&SYSTEM
  ibrav = 0, nat = 4, ntyp = 3
/
ATOMIC_SPECIES
Sr 87.62 Sr.upf
Ca 40.08 Ca.upf
Os 190.23 Os.upf
CELL_PARAMETERS angstrom
11.274 -0.016 -0.009
10.674 3.629 -0.009
10.674 1.757 3.175
ATOMIC_POSITIONS crystal
Sr 0.750 0.750 0.750
Ca 0.525 0.525 0.525
Os 0.250 0.250 0.250
Ca 0.975 0.975 0.975


B | ! SrCa2Os | Alexandria via LeMat-Bulk | GGA-PBE | optimized geometry; values from VASP
! Spin magnetization = 0.000 μB per formula unit
&SYSTEM
  ibrav = 0, nat = 4, ntyp = 3
/
ATOMIC_SPECIES
Ca 40.08 Ca.upf
Os 190.23 Os.upf
Sr 87.62 Sr.upf
CELL_PARAMETERS angstrom
-4.993 1.937 0.021
-4.044 -3.001 -1.822
-3.622 -1.971 3.416
ATOMIC_POSITIONS crystal
Ca 0.250 0.250 0.250
Os 0.500 0.500 0.500
Ca 0.000 0.000 0.000
Sr 0.750 0.750 0.750


C | ! SrCa2Os | Alexandria via LeMat-Bulk | GGA-PBE | optimized geometry; values from VASP
! Spin magnetization = 0.000 μB per formula unit
&SYSTEM
  ibrav = 0, nat = 4, ntyp = 3
/
ATOMIC_SPECIES
Os 190.23 Os.upf
Ca 40.08 Ca.upf
Sr 87.62 Sr.upf
CELL_PARAMETERS angstrom
0.000 3.760 3.760
3.760 0.000 3.760
3.760 3.760 0.000
ATOMIC_POSITIONS crystal
Os 0.500 0.500 0.500
Ca 0.250 0.250 0.250
Sr 0.000 0.000 0.000
Ca 0.750 0.750 0.750


Stability summary - winner: C; margin: 1.4 kJ/mol of atoms.


A | ! SrCa2Os | Alexandria via LeMat-Bulk | GGA-PBE | optimized geometry; values from VASP
! Spin magnetization = 0.582 μB per formula unit
&SYSTEM
  ibrav = 0, nat = 4, ntyp = 3
/
ATOMIC_SPECIES
Ca 40.08 Ca.upf
Os 190.23 Os.upf
Sr 87.62 Sr.upf
CELL_PARAMETERS angstrom
6.368 0.009 -0.053
-2.991 5.622 -0.053
0.786 1.311 3.093
ATOMIC_POSITIONS crystal
Ca 0.500 0.500 0.000
Os 0.500 0.000 0.500
Ca 0.000 0.000 0.000
Sr 0.000 0.500 0.500


B | ! SrCa2Os | Alexandria via LeMat-Bulk | GGA-PBE | optimized geometry; values from VASP
! Spin magnetization = 0.002 μB per formula unit
&SYSTEM
  ibrav = 0, nat = 4, ntyp = 3
/
ATOMIC_SPECIES
Ca 40.08 Ca.upf
Sr 87.62 Sr.upf
Os 190.23 Os.upf
CELL_PARAMETERS angstrom
3.561 0.000 0.000
0.000 3.559 0.012
0.000 3.527 9.971
ATOMIC_POSITIONS crystal
Ca 0.000 0.586 0.414
Ca 0.000 0.914 0.086
Sr 0.500 0.750 0.750
Os 0.500 0.250 0.250


Stability summary - winner: B; margin: 38.1 kJ/mol of atoms.


A | ! SrCa2Os | Alexandria via LeMat-Bulk | GGA-PBE | optimized geometry; values from VASP
! Spin magnetization = 0.000 μB per formula unit
&SYSTEM
  ibrav = 0, nat = 4, ntyp = 3
/
ATOMIC_SPECIES
Sr 87.62 Sr.upf
Ca 40.08 Ca.upf
Os 190.23 Os.upf
CELL_PARAMETERS angstrom
4.787 0.015 0.000
-0.014 4.787 0.000
0.000 0.000 4.787
ATOMIC_POSITIONS crystal
Sr 0.000 0.500 0.500
Ca 0.500 0.500 0.000
Ca 0.000 0.000 0.000
Os 0.500 0.000 0.500


B | ! SrCa2Os | Alexandria via LeMat-Bulk | GGA-PBE | optimized geometry; values from VASP
! Spin magnetization = 0.000 μB per formula unit
&SYSTEM
  ibrav = 0, nat = 4, ntyp = 3
/
ATOMIC_SPECIES
Ca 40.08 Ca.upf
Sr 87.62 Sr.upf
Os 190.23 Os.upf
CELL_PARAMETERS angstrom
5.876 -0.330 -0.015
4.590 3.683 -0.015
3.425 1.097 5.563
ATOMIC_POSITIONS crystal
Ca 0.809 0.809 0.643
Sr 0.190 0.190 0.269
Os 0.495 0.495 0.659
Ca 0.006 0.006 0.929


C | ! SrCa2Os | Alexandria via LeMat-Bulk | GGA-PBE | optimized geometry; values from VASP
! Spin magnetization = 0.000 μB per formula unit
&SYSTEM
  ibrav = 0, nat = 8, ntyp = 3
/
ATOMIC_SPECIES
Os 190.23 Os.upf
Ca 40.08 Ca.upf
Sr 87.62 Sr.upf
CELL_PARAMETERS angstrom
7.958 0.000 0.000
0.000 7.958 0.000
3.979 3.979 6.077
ATOMIC_POSITIONS crystal
Os 0.750 0.250 0.500
Ca 0.876 0.625 0.250
Sr 0.250 0.750 0.500
Ca 0.875 0.124 0.750
Ca 0.874 0.125 0.250
Ca 0.375 0.126 0.750
Os 0.000 0.000 0.000
Sr 0.500 0.500 0.000


Stability summary - winner: B; margin: 18.2 kJ/mol of atoms.